<P>
This record from the Alexandria database describes a PBEsol-optimized structure of CaAlMo. The functional is meta-GGA SCAN.

The size of the total moment comes out at 0.00 μB/atom.

abc: 4.7709 4.7709 2.8268
angles: 90.00 90.00 120.00
Fractional positions:
Ca 0.0000 0.0000 0.0000
Al 0.3333 0.6667 0.5718
Mo 0.6667 0.3333 0.3452

<Q>
This record from the Alexandria database describes a PBEsol-optimized structure of CaAlMo. The functional is meta-GGA SCAN.

The size of the total moment comes out at 0.80 μB/atom.

abc: 4.6224 4.6224 4.6224
angles: 60.00 60.00 60.00
Fractional positions:
Ca 0.0000 0.0000 0.0000
Al 0.2500 0.2500 0.2500
Mo 0.5000 0.5000 0.5000

Stability, descending: <P>, <Q>

<P>
This record from the Alexandria database describes a PBEsol-optimized structure of Ca4Al6MoO16. The functional is meta-GGA SCAN.

The size of the total moment comes out at 0.00 μB/atom.

abc: 8.0795 8.0795 8.0795
angles: 110.08 110.08 108.26
Fractional positions:
Ca 0.4808 0.4451 0.4606
Ca 0.5549 0.0155 0.0357
Ca 0.9798 0.5192 0.9643
Ca 0.9845 0.0202 0.5394
Al 0.2500 0.7500 0.5000
Al 0.2538 0.4906 0.7326
Al 0.4788 0.7462 0.2368
Al 0.5094 0.2419 0.7632
Al 0.7500 0.2500 0.5000
Al 0.7581 0.5212 0.2674
Mo 0.0000 0.0000 0.0000
O 0.0044 0.3644 0.6762
O 0.0060 0.7255 0.4195
O 0.2610 0.1320 0.1779
O 0.2745 0.6940 0.2805
O 0.3060 0.5865 0.5805
O 0.3070 0.2890 0.6842
O 0.3771 0.6930 0.9820
O 0.4135 0.9940 0.7195
O 0.6049 0.6229 0.3158
O 0.6356 0.3118 0.6400
O 0.6717 0.9956 0.3600
O 0.6882 0.3283 0.3238
O 0.7110 0.3951 0.0180
O 0.8680 0.0459 0.1289
O 0.9169 0.7390 0.8711
O 0.9541 0.0831 0.8221

<Q>
This record from the Alexandria database describes a PBEsol-optimized structure of Ca4Al6MoO16. The functional is meta-GGA SCAN.

The size of the total moment comes out at 0.00 μB/atom.

abc: 26.1336 8.0330 8.0330
angles: 109.07 90.00 90.00
Fractional positions:
Ca 0.0183 0.2321 0.7679
Ca 0.1202 0.9388 0.9692
Ca 0.1383 0.4464 0.3882
Ca 0.2505 0.1894 0.7164
Ca 0.2495 0.6894 0.2164
Ca 0.3617 0.9464 0.8882
Ca 0.3798 0.4388 0.4692
Ca 0.4817 0.7321 0.2679
Ca 0.5183 0.2679 0.7321
Ca 0.6202 0.4692 0.4388
Ca 0.6383 0.8882 0.9464
Ca 0.7505 0.2164 0.6894
Ca 0.7495 0.7164 0.1894
Ca 0.8617 0.3882 0.4464
Ca 0.8798 0.9692 0.9388
Ca 0.9817 0.7679 0.2321
Al 0.0000 0.4734 0.4734
Al 0.0000 0.9571 0.9571
Al 0.0594 0.8416 0.5714
Al 0.0626 0.1115 0.3379
Al 0.1851 0.8265 0.5783
Al 0.1900 0.0636 0.3159
Al 0.2433 0.9412 0.9485
Al 0.2567 0.4412 0.4485
Al 0.3100 0.5636 0.8159
Al 0.3149 0.3265 0.0783
Al 0.4374 0.6115 0.8379
Al 0.4406 0.3416 0.0714
Al 0.5000 0.4571 0.4571
Al 0.5000 0.9734 0.9734
Al 0.5594 0.0714 0.3416
Al 0.5626 0.8379 0.6115
Al 0.6851 0.0783 0.3265
Al 0.6900 0.8159 0.5636
Al 0.7433 0.4485 0.4412
Al 0.7567 0.9485 0.9412
Al 0.8100 0.3159 0.0636
Al 0.8149 0.5783 0.8265
Al 0.9374 0.3379 0.1115
Al 0.9406 0.5714 0.8416
Mo 0.1376 0.4595 0.9382
Mo 0.3624 0.9595 0.4382
Mo 0.6376 0.4382 0.9595
Mo 0.8624 0.9382 0.4595
O 0.0156 0.6807 0.4540
O 0.0326 0.9658 0.1500
O 0.0459 0.0286 0.5069
O 0.0477 0.9355 0.7993
O 0.0548 0.3406 0.4054
O 0.0910 0.2989 0.9358
O 0.1077 0.6466 0.9175
O 0.1215 0.7528 0.5398
O 0.1263 0.0975 0.2678
O 0.1711 0.5150 0.1423
O 0.1800 0.3740 0.7611
O 0.1940 0.9528 0.8016
O 0.2087 0.9025 0.1180
O 0.2094 0.9715 0.4745
O 0.2119 0.2773 0.3696
O 0.2201 0.6323 0.4812
O 0.2799 0.1323 0.9812
O 0.2881 0.7773 0.8696
O 0.2913 0.4025 0.6180
O 0.2906 0.4715 0.9745
O 0.3060 0.4528 0.3016
O 0.3200 0.8740 0.2611
O 0.3289 0.0150 0.6423
O 0.3737 0.5975 0.7678
O 0.3785 0.2528 0.0398
O 0.3923 0.1466 0.4175
O 0.4090 0.7989 0.4358
O 0.4452 0.8406 0.9054
O 0.4523 0.4355 0.2993
O 0.4541 0.5286 0.0069
O 0.4674 0.4658 0.6500
O 0.4844 0.1807 0.9540
O 0.5156 0.9540 0.1807
O 0.5326 0.6500 0.4658
O 0.5459 0.0069 0.5286
O 0.5477 0.2993 0.4355
O 0.5548 0.9054 0.8406
O 0.5910 0.4358 0.7989
O 0.6077 0.4175 0.1466
O 0.6215 0.0398 0.2528
O 0.6263 0.7678 0.5975
O 0.6711 0.6423 0.0150
O 0.6800 0.2611 0.8740
O 0.6940 0.3016 0.4528
O 0.7087 0.6180 0.4025
O 0.7094 0.9745 0.4715
O 0.7119 0.8696 0.7773
O 0.7201 0.9812 0.1323
O 0.7799 0.4812 0.6323
O 0.7881 0.3696 0.2773
O 0.7913 0.1180 0.9025
O 0.7906 0.4745 0.9715
O 0.8060 0.8016 0.9528
O 0.8200 0.7611 0.3740
O 0.8289 0.1423 0.5150
O 0.8737 0.2678 0.0975
O 0.8785 0.5398 0.7528
O 0.8923 0.9175 0.6466
O 0.9090 0.9358 0.2989
O 0.9452 0.4054 0.3406
O 0.9523 0.7993 0.9355
O 0.9541 0.5069 0.0286
O 0.9674 0.1500 0.9658
O 0.9844 0.4540 0.6807

Stability, descending: <Q>, <P>